No. 1
# AgTeAs2, optimized geometry, DFT GGA-PBE
data_AgTeAs2
_chemical_formula_sum 'Ag2 Te2 As4'
_cell_length_a 3.860
_cell_length_b 4.293
_cell_length_c 10.910
_cell_angle_alpha 90.00
_cell_angle_beta 90.00
_cell_angle_gamma 90.00
_space_group_name_H-M_alt 'I m m m'
_space_group_IT_number 71
_space_group_name_Hall '-I 2 2'
loop_
_atom_site_label
_atom_site_type_symbol
_atom_site_fract_x
_atom_site_fract_y
_atom_site_fract_z
Ag1 Ag 0.000 0.000 0.000
Te1 Te 0.000 0.000 0.500
As1 As 0.000 0.500 0.214
# **Mass density**: 7.1 Mg/m³



No. 2
# AgTe4As2, optimized geometry, DFT GGA-PBE
data_AgTe4As2
_chemical_formula_sum 'Ag3 Te12 As6'
_cell_length_a 4.1957
_cell_length_b 4.1957
_cell_length_c 37.3115
_cell_angle_alpha 90.00
_cell_angle_beta 90.00
_cell_angle_gamma 120.00
_space_group_name_H-M_alt 'R -3 m'
_space_group_IT_number 166
_space_group_name_Hall '-R 3 2"'
loop_
_atom_site_label
_atom_site_type_symbol
_atom_site_fract_x
_atom_site_fract_y
_atom_site_fract_z
Ag1 Ag 0.0000 0.0000 0.0000
Te1 Te 0.0000 0.0000 0.1341
Te2 Te 0.0000 0.0000 0.2887
As1 As 0.0000 0.0000 0.4255
# **Energy relative to the lowest polymorph listed for this composition**: 0 meV/atom
# **Mass density**: 6.7 Mg/m³



No. 3
# AgTeAs2, optimized geometry, DFT GGA-PBE
data_AgTeAs2
_chemical_formula_sum 'Ag1 Te1 As2'
_cell_length_a 3.531
_cell_length_b 3.531
_cell_length_c 7.448
_cell_angle_alpha 90.00
_cell_angle_beta 90.00
_cell_angle_gamma 90.00
_space_group_name_H-M_alt 'P 4 m m'
_space_group_IT_number 99
_space_group_name_Hall 'P 4 -2'
loop_
_atom_site_label
_atom_site_type_symbol
_atom_site_fract_x
_atom_site_fract_y
_atom_site_fract_z
Ag1 Ag 0.000 0.000 0.000
Te1 Te 0.500 0.500 0.768
As1 As 0.000 0.000 0.383
As2 As 0.500 0.500 0.247
# **Mass density**: 6.9 Mg/m³



No. 4
# AgTeAs2, optimized geometry, DFT GGA-PBE
data_AgTeAs2
_chemical_formula_sum 'Ag2 Te2 As4'
_cell_length_a 5.979
_cell_length_b 10.144
_cell_length_c 2.960
_cell_angle_alpha 90.00
_cell_angle_beta 105.95
_cell_angle_gamma 90.00
_space_group_name_H-M_alt 'C 1 2/m 1'
_space_group_IT_number 12
_space_group_name_Hall '-C 2y'
loop_
_atom_site_label
_atom_site_type_symbol
_atom_site_fract_x
_atom_site_fract_y
_atom_site_fract_z
Ag1 Ag 0.000 0.000 0.000
Te1 Te 0.000 0.500 0.000
As1 As 0.250 0.250 0.500
# **Mass density**: 7.4 Mg/m³



Energy relative to the elements, uncorrected per entry: 349, 7, 248, 419 meV/atom
M_tot per entry: 0.0000, 0.0000, 0.0000, 0.0000 μB per atom